No. 1
Density functional theory data (PBE) for crystalline NbAg3Rh at its relaxed geometry.

Output
Electronic total energy ... -3.734 eV per atom
Crystal system ... cubic
E above lowest polymorph ... 0 meV/atom
Energy of formation ... 1.461 eV/atom
Space-group type ... No. 221
Fermi-level density of states ... 7.0 states/eV/f.u.
Density ... 7.19 g cm⁻³

Structure (POSCAR):
```
NbAg3Rh
1.0
4.932 0.000 0.000
0.000 4.932 0.000
0.000 0.000 4.932
Nb Ag Rh
1 3 1
Direct
0.000 0.000 0.000
0.000 0.500 0.500
0.500 0.000 0.500
0.500 0.500 0.000
0.500 0.500 0.500
```



No. 2
Density functional theory data (PBE) for crystalline NdGd2Mg at its relaxed geometry.

Output
Electronic total energy ... -8.578 eV per atom
Crystal system ... cubic
E above lowest polymorph ... 90 meV/atom
Energy of formation ... 0.053 eV/atom
Space-group type ... No. 225
Fermi-level density of states ... 5.9 states/eV/f.u.
Density ... 6.54 g cm⁻³

Structure (POSCAR):
```
NdGd2Mg
1.0
0.000 3.943 3.943
3.943 0.000 3.943
3.943 3.943 0.000
Nd Gd Mg
1 2 1
Direct
0.000 0.000 0.000
0.250 0.250 0.250
0.750 0.750 0.750
0.500 0.500 0.500
```



No. 3
Density functional theory data (PBE) for crystalline CePrCuOs at its relaxed geometry.

Output
Electronic total energy ... -6.562 eV per atom
Crystal system ... cubic
Energy of formation ... -0.052 eV/atom
Space-group type ... No. 216
Fermi-level density of states ... 6.6 states/eV/f.u.
Density ... 10.09 g cm⁻³

Structure (POSCAR):
```
CePrCuOs
1.0
0.000 3.531 3.531
3.531 0.000 3.531
3.531 3.531 0.000
Ce Pr Cu Os
1 1 1 1
Direct
0.000 0.000 0.000
0.500 0.500 0.500
0.250 0.250 0.250
0.750 0.750 0.750
```



No. 4
Density functional theory data (PBE) for crystalline Ba8In2Pd at its relaxed geometry.

Output
Electronic total energy ... -2.611 eV per atom
Crystal system ... monoclinic
E above lowest polymorph ... 10 meV/atom
Energy of formation ... -0.243 eV/atom
Space-group type ... No. 12
Fermi-level density of states ... 11.0 states/eV/f.u.
Density ... 4.18 g cm⁻³

Structure (POSCAR):
```
Ba8In2Pd
1.0
12.490 -2.384 0.000
12.490 2.384 0.000
-0.247 0.000 9.572
Ba In Pd
8 2 1
Direct
0.011 0.011 0.220
0.237 0.237 0.702
0.371 0.371 0.998
0.396 0.396 0.483
0.604 0.604 0.517
0.629 0.629 0.002
0.763 0.763 0.298
0.989 0.989 0.780
0.159 0.159 0.280
0.841 0.841 0.720
0.500 0.500 0.000
```



No. 5
Density functional theory data (PBE) for crystalline Rb2LiCeI5 at its relaxed geometry.

Output
Formation energy (no corrections) ... -1.308 eV per atom
Electronic total energy ... -3.256 eV per atom
Crystal system ... orthorhombic
Space-group type ... No. 36
Fermi-level density of states ... 9.0 states/eV/f.u.
Density ... 4.02 g cm⁻³

Structure (POSCAR):
```
Rb2LiCeI5
1.0
2.283 -10.774 0.000
2.283 10.774 0.000
0.000 0.000 15.984
Rb Li Ce I
4 2 2 10
Direct
0.111 0.889 0.500
0.127 0.873 0.141
0.873 0.127 0.641
0.889 0.111 0.000
0.439 0.561 0.245
0.561 0.439 0.745
0.200 0.800 0.839
0.800 0.200 0.339
0.049 0.951 0.843
0.290 0.710 0.486
0.311 0.689 0.190
0.349 0.651 0.823
0.500 0.500 0.097
0.500 0.500 0.597
0.651 0.349 0.323
0.689 0.311 0.690
0.710 0.290 0.986
0.951 0.049 0.343
```



No. 6
Density functional theory data (PBE) for crystalline TaMnS3 at its relaxed geometry.

Output
Formation energy (no corrections) ... -0.132 eV per atom
Electronic total energy ... -6.813 eV per atom
Crystal system ... cubic
E above lowest polymorph ... 551 meV/atom
Space-group type ... No. 221
Fermi-level density of states ... 3.4 states/eV/f.u.
Density ... 5.06 g cm⁻³

Structure (POSCAR):
```
TaMnS3
1.0
4.775 0.000 0.000
0.000 4.775 0.000
0.000 0.000 4.775
Ta Mn S
1 1 3
Direct
0.000 0.000 0.000
0.500 0.500 0.500
0.000 0.000 0.500
0.000 0.500 0.000
0.500 0.000 0.000
```



No. 7
Density functional theory data (PBE) for crystalline SiRhN2F at its relaxed geometry.

Output
Formation energy (no corrections) ... 0.842 eV per atom
Electronic total energy ... -5.417 eV per atom
Crystal system ... tetragonal
E above lowest polymorph ... 805 meV/atom
Space-group type ... No. 123
Fermi-level density of states ... 3.7 states/eV/f.u.
Density ... 4.69 g cm⁻³

Structure (POSCAR):
```
SiRhN2F
1.0
3.886 0.000 0.000
0.000 3.886 0.000
0.000 0.000 4.177
Si Rh N F
1 1 2 1
Direct
0.000 0.000 0.000
0.500 0.500 0.500
0.000 0.500 0.500
0.500 0.000 0.500
0.500 0.500 0.000
```



No. 8
Density functional theory data (PBE) for crystalline TiCu3P at its relaxed geometry.

Output
Electronic total energy ... -3.652 eV per atom
Crystal system ... cubic
E above lowest polymorph ... 1114 meV/atom
Energy of formation ... 1.466 eV/atom
Space-group type ... No. 221
Fermi-level density of states ... 4.0 states/eV/f.u.
Density ... 4.61 g cm⁻³

Structure (POSCAR):
```
TiCu3P
1.0
4.595 0.000 0.000
0.000 4.595 0.000
0.000 0.000 4.595
Ti Cu P
1 3 1
Direct
0.000 0.000 0.000
0.000 0.000 0.500
0.000 0.500 0.000
0.500 0.000 0.000
0.500 0.500 0.500
```



No. 9
Density functional theory data (PBE) for crystalline AcTc4P2 at its relaxed geometry.

Output
Electronic total energy ... -8.712 eV per atom
Crystal system ... orthorhombic
Energy of formation ... -0.656 eV/atom
Space-group type ... No. 65
Fermi-level density of states ... 3.9 states/eV/f.u.
Density ... 9.14 g cm⁻³

Structure (POSCAR):
```
AcTc4P2
1.0
2.050 -7.459 0.000
2.050 7.459 0.000
0.000 0.000 4.045
Ac Tc P
1 4 2
Direct
0.000 0.000 0.000
0.189 0.811 0.500
0.302 0.698 0.000
0.698 0.302 0.000
0.811 0.189 0.500
0.396 0.604 0.500
0.604 0.396 0.500
```



No. 10
Density functional theory data (PBE) for crystalline SiSeCl2 at its relaxed geometry.

Output
Formation energy (no corrections) ... 0.163 eV per atom
Electronic total energy ... -2.987 eV per atom
Crystal system ... orthorhombic
E above lowest polymorph ... 470 meV/atom
Space-group type ... No. 65
Fermi-level density of states ... 2.9 states/eV/f.u.
Density ... 2.90 g cm⁻³

Structure (POSCAR):
```
SiSeCl2
1.0
1.534 -2.814 0.000
1.534 2.814 0.000
0.000 0.000 11.793
Si Se Cl
1 1 2
Direct
0.000 0.000 0.000
0.000 0.000 0.500
0.500 0.500 0.157
0.500 0.500 0.843
```



No. 11
Density functional theory data (PBE) for crystalline CdSiPd3 at its relaxed geometry.

Output
Formation energy (no corrections) ... 1.070 eV per atom
Electronic total energy ... -3.313 eV per atom
Crystal system ... cubic
E above lowest polymorph ... 1501 meV/atom
Space-group type ... No. 221
Fermi-level density of states ... 6.4 states/eV/f.u.
Density ... 6.43 g cm⁻³

Structure (POSCAR):
```
CdSiPd3
1.0
4.916 0.000 0.000
0.000 4.916 0.000
0.000 0.000 4.916
Cd Si Pd
1 1 3
Direct
0.000 0.000 0.000
0.500 0.500 0.500
0.000 0.000 0.500
0.000 0.500 0.000
0.500 0.000 0.000
```



No. 12
Density functional theory data (PBE) for crystalline CdBRh3 at its relaxed geometry.

Output
Electronic total energy ... -6.138 eV per atom
Crystal system ... monoclinic
E above lowest polymorph ... 2 meV/atom
Energy of formation ... -0.209 eV/atom
Space-group type ... No. 12
Fermi-level density of states ... 4.8 states/eV/f.u.
Density ... 10.32 g cm⁻³

Structure (POSCAR):
```
CdBRh3
1.0
9.088 -1.420 0.000
9.088 1.420 0.000
-0.331 0.000 5.387
Cd B Rh
2 2 6
Direct
0.071 0.071 0.348
0.929 0.929 0.652
0.145 0.145 0.854
0.855 0.855 0.146
0.304 0.304 0.882
0.307 0.307 0.391
0.442 0.442 0.144
0.558 0.558 0.856
0.693 0.693 0.609
0.696 0.696 0.118
```